Below is an optimized crystal structure of TaPbSe2, with properties calculated at the GGA-PBE level.

Calculated total energy   -4.942 eV per atom
Uncorrected formation energy   0.690 eV/atom
Density of states at the Fermi level   17.8 states/eV/cell
Magnetization   2.8 Bohr magnetons per cell

a b c (Å): 7.0154 7.0154 7.0154
angles (deg): 90.00 90.00 90.00
Last column: nearest neighbours and their distance in Å.
Space group F-43m (No. 216)
Symmetry-distinct sites (fractional):
1 Ta 0.0000 0.0000 0.0000 (multiplicity 4)  4 Pb 3.04, 4 Se 3.04
2 Pb 0.2500 0.2500 0.7500 (multiplicity 4)  4 Ta 3.04, 4 Se 3.04
3 Se 0.0000 0.0000 0.5000 (multiplicity 4)  4 Se 3.04, 4 Pb 3.04
4 Se 0.2500 0.2500 0.2500 (multiplicity 4)  4 Ta 3.04, 4 Se 3.04